1.
# BIrPd2, single point on PBEsol structure, DFT SCAN
# E ... -140.499 eV/f.u.
# DFT formation energy ... 894 meV per atom
data_BIrPd2
_space_group_name_H-M_alt 'I -4 2 d'
_space_group_IT_number 122
_space_group_name_Hall 'I -4 2bw'
_cell_length_a 4.605
_cell_length_b 4.605
_cell_length_c 12.133
_cell_angle_alpha 90.00
_cell_angle_beta 90.00
_cell_angle_gamma 90.00
loop_
_atom_site_label
_atom_site_type_symbol
_atom_site_fract_x
_atom_site_fract_y
_atom_site_fract_z
B1 B 0.000 0.000 0.000
Ir1 Ir 0.000 0.000 0.500
Pd1 Pd 0.161 0.250 0.125

2.
# MgMo2W, single point on PBEsol structure, DFT SCAN
# E ... -142.739 eV/f.u.
# DFT formation energy ... 423 meV per atom
data_MgMo2W
_space_group_name_H-M_alt 'C 1 m 1'
_space_group_IT_number 8
_space_group_name_Hall 'C -2y'
_cell_length_a 9.327
_cell_length_b 2.624
_cell_length_c 5.220
_cell_angle_alpha 90.00
_cell_angle_beta 91.84
_cell_angle_gamma 90.00
loop_
_atom_site_label
_atom_site_type_symbol
_atom_site_fract_x
_atom_site_fract_y
_atom_site_fract_z
Mg1 Mg 0.000 0.000 0.000
Mo1 Mo 0.253 0.000 0.754
Mo2 Mo 0.497 0.000 0.501
W1 W 0.245 0.500 0.252

3.
# LiCu2P, single point on PBEsol structure, DFT SCAN
# E ... -44.469 eV/f.u.
# DFT formation energy ... -320 meV per atom
data_LiCu2P
_space_group_name_H-M_alt 'P -3 m 1'
_space_group_IT_number 164
_space_group_name_Hall '-P 3 2"'
_cell_length_a 3.9668
_cell_length_b 3.9668
_cell_length_c 7.4229
_cell_angle_alpha 90.00
_cell_angle_beta 90.00
_cell_angle_gamma 120.00
loop_
_atom_site_label
_atom_site_type_symbol
_atom_site_fract_x
_atom_site_fract_y
_atom_site_fract_z
Li1 Li 0.3333 0.6667 0.4083
Cu1 Cu 0.0000 0.0000 0.2196
Cu2 Cu 0.3333 0.6667 0.0661
P1 P 0.3333 0.6667 0.7535

4.
# K2NiTe, single point on PBEsol structure, DFT SCAN
# E ... -70.259 eV/f.u.
data_K2NiTe
_space_group_name_H-M_alt 'C m m m'
_space_group_IT_number 65
_space_group_name_Hall '-C 2 2'
_cell_length_a 5.508
_cell_length_b 8.821
_cell_length_c 4.546
_cell_angle_alpha 90.00
_cell_angle_beta 90.00
_cell_angle_gamma 90.00
loop_
_atom_site_label
_atom_site_type_symbol
_atom_site_fract_x
_atom_site_fract_y
_atom_site_fract_z
K1 K 0.250 0.250 0.000
Ni1 Ni 0.000 0.000 0.500
Te1 Te 0.000 0.500 0.500

Q: Among the records above, which one has the lowest E?
A: MgMo2W